## InSbBr2 (PBE-GGA)

Data for a geometry-optimized InSbBr2 structure.

```
data_InSbBr2
_chemical_formula_sum 'In4 Sb4 Br8'
_cell_length_a 8.6778
_cell_length_b 8.6778
_cell_length_c 6.9552
_cell_angle_alpha 90.00
_cell_angle_beta 90.00
_cell_angle_gamma 90.00
_symmetry_space_group_name_H-M 'I -4 2 d'
_symmetry_Int_Tables_number 122
_symmetry_space_group_name_Hall 'I -4 2bw'
loop_
_atom_site_label
_atom_site_type_symbol
_atom_site_fract_x
_atom_site_fract_y
_atom_site_fract_z
_atom_site_occupancy
In1 In 0.0000 0.0000 0.0000 1
Sb1 Sb 0.0000 0.0000 0.5000 1
Br1 Br 0.2110 0.2500 0.6250 1
```

DOS(E_F) in states/eV/cell: 8.1
E_form (uncorrected) in eV/atom: -0.1468
Calculated density in kg/m³: 5027
Polymorph energy (0 for the lowest one) in meV/atom: 203
Total energy in eV per formula unit: -10.8